A plane-wave DFT calculation with PBE+U was carried out for a relaxed structure of Be2Tl2MoO6.

Output
The value obtained for the final energy is -0.451 Ry per atom.

abc: 5.4062 5.4062 6.9401
angles: 67.08 67.08 60.00
Fractional positions:
1 Be 0.3934 0.3934 0.8199
2 Be 0.6066 0.6066 0.1801
3 Tl 0.7872 0.7872 0.6385
4 Tl 0.2128 0.2128 0.3615
5 Mo 0.0000 0.0000 0.0000
6 O 0.7701 0.7701 0.1841
7 O 0.2758 0.7701 0.1841
8 O 0.7701 0.2758 0.1841
9 O 0.2299 0.7242 0.8159
10 O 0.7242 0.2299 0.8159
11 O 0.2299 0.2299 0.8159